Below is a relaxed Al2Zn2P crystal, with properties calculated at the PBE level.

abc: 6.6008 6.6008 3.8830
angles: 90.00 90.00 90.00
Closest atoms and distances in Å follow each position.
Fractional coordinates of all 10 atoms:
Al 0.1670 0.3330 0.0000  6 Zn 2.68-2.79
Al 0.3330 0.8330 0.0000  6 Zn 2.68-2.79
Al 0.6670 0.1670 0.0000  6 Zn 2.68-2.79
Al 0.8330 0.6670 0.0000  6 Zn 2.68-2.79
Zn 0.1355 0.6355 0.5000  1 Zn 2.53, 2 P 2.57, 6 Al 2.68-2.79
Zn 0.3645 0.1355 0.5000  1 Zn 2.53, 2 P 2.57, 6 Al 2.68-2.79
Zn 0.6355 0.8645 0.5000  1 Zn 2.53, 2 P 2.57, 6 Al 2.68-2.79
Zn 0.8645 0.3645 0.5000  1 Zn 2.53, 2 P 2.57, 6 Al 2.68-2.79
P 0.0000 0.0000 0.5000  4 Zn 2.57
P 0.5000 0.5000 0.5000  4 Zn 2.57

Results
Calculated formation energy = 227 meV/atom
Energy above the most stable polymorph in this dataset = 60 meV/atom



Below is a relaxed AlZn2P crystal, with properties calculated at the PBE level.

abc: 4.9536 4.9536 4.9536
angles: 133.40 133.40 68.03
Closest atoms and distances in Å follow each position.
Fractional coordinates of all 4 atoms:
Al 0.0000 0.0000 0.0000  8 Zn 2.77-2.84, 4 P 2.84
Zn 0.5000 0.5000 0.0000  4 Al 2.77, 4 Zn 2.84, 4 P 2.84
Zn 0.7500 0.2500 0.5000  4 P 2.77, 4 Al 2.84, 4 Zn 2.84
P 0.2500 0.7500 0.5000  8 Zn 2.77-2.84, 4 Al 2.84

Results
Calculated formation energy = 184 meV/atom
Energy above the most stable polymorph in this dataset = 141 meV/atom



- Number 2 is which compound?
  AlZn2P



- Look up the energy above the most stable polymorph in this dataset of the second one.
  141 meV/atom



- Among the records above, which one has the lowest calculated formation energy?
  AlZn2P